VASP calculation (PBE-GGA) on a relaxed Fe3Br crystal.

Summary:
SG: R-3m (166)
Distance to the lowest polymorph of the same formula (eV/f.u.): 1.31
Energy relative to the elements, uncorrected (eV per atom): 0.711
Density of states at the Fermi level (states/eV per cell): 3.1

Unit cell a=4.875 b=4.875 c=4.875 alpha=116.17 beta=116.17 gamma=116.17
Fractional coordinates of all 4 atoms:
Fe 0.000 0.500 0.500
Fe 0.500 0.000 0.500
Fe 0.500 0.500 0.000
Br 0.000 0.000 0.000